! Ta3Nb4Co6, relaxed, DFT PBE; values from VASP
&SYSTEM
  ibrav = 0, nat = 13, ntyp = 3
/
ATOMIC_SPECIES
Ta 180.95 Ta.upf
Nb 92.91 Nb.upf
Co 58.93 Co.upf
CELL_PARAMETERS angstrom
2.482 1.433 8.705
-2.482 1.433 8.705
0.000 -2.866 8.705
ATOMIC_POSITIONS crystal
Ta 0.000 0.000 0.000
Ta 0.346 0.346 0.346
Ta 0.654 0.654 0.654
Nb 0.166 0.166 0.166
Nb 0.451 0.451 0.451
Nb 0.549 0.549 0.549
Nb 0.834 0.834 0.834
Co 0.093 0.093 0.581
Co 0.093 0.581 0.093
Co 0.419 0.907 0.907
Co 0.581 0.093 0.093
Co 0.907 0.419 0.907
Co 0.907 0.907 0.419
! spin magnetization = 0.01 μB per formula unit
! total DFT energy (no corrections) = -121.27 eV/f.u.
! formation energy from the elements = -260.1 kJ/mol of formula units
! offset from the most stable computed form = 14.6 meV/atom

***

! YTlFeAu, relaxed, DFT PBE; values from VASP
&SYSTEM
  ibrav = 0, nat = 16, ntyp = 4
/
ATOMIC_SPECIES
Y 88.91 Y.upf
Tl 204.38 Tl.upf
Fe 55.84 Fe.upf
Au 196.97 Au.upf
CELL_PARAMETERS angstrom
6.951 0.000 0.000
0.000 6.951 0.000
0.000 0.000 6.951
ATOMIC_POSITIONS crystal
Y 0.000 0.000 0.000
Y 0.000 0.500 0.500
Y 0.500 0.000 0.500
Y 0.500 0.500 0.000
Tl 0.250 0.250 0.250
Tl 0.250 0.750 0.750
Tl 0.750 0.250 0.750
Tl 0.750 0.750 0.250
Fe 0.000 0.000 0.500
Fe 0.000 0.500 0.000
Fe 0.500 0.000 0.000
Fe 0.500 0.500 0.500
Au 0.250 0.250 0.750
Au 0.250 0.750 0.250
Au 0.750 0.250 0.250
Au 0.750 0.750 0.750
! spin magnetization = 2.79 μB per formula unit
! total DFT energy (no corrections) = -20.64 eV/f.u.
! offset from the most stable computed form = 0.0 meV/atom

***

! NiBiMoAu, relaxed, DFT PBE; values from VASP
&SYSTEM
  ibrav = 0, nat = 16, ntyp = 4
/
ATOMIC_SPECIES
Ni 58.69 Ni.upf
Bi 208.98 Bi.upf
Mo 95.94 Mo.upf
Au 196.97 Au.upf
CELL_PARAMETERS angstrom
6.563 0.000 0.000
0.000 6.563 0.000
0.000 0.000 6.563
ATOMIC_POSITIONS crystal
Ni 0.000 0.000 0.000
Ni 0.000 0.500 0.500
Ni 0.500 0.000 0.500
Ni 0.500 0.500 0.000
Bi 0.250 0.250 0.750
Bi 0.250 0.750 0.250
Bi 0.750 0.250 0.250
Bi 0.750 0.750 0.750
Mo 0.000 0.000 0.500
Mo 0.000 0.500 0.000
Mo 0.500 0.000 0.000
Mo 0.500 0.500 0.500
Au 0.250 0.250 0.250
Au 0.250 0.750 0.750
Au 0.750 0.250 0.750
Au 0.750 0.750 0.250
! spin magnetization = 0.98 μB per formula unit
! total DFT energy (no corrections) = -21.82 eV/f.u.

***

! NdGaPdPt3, relaxed, DFT PBE; values from VASP
&SYSTEM
  ibrav = 0, nat = 6, ntyp = 4
/
ATOMIC_SPECIES
Nd 144.24 Nd.upf
Ga 69.72 Ga.upf
Pd 106.42 Pd.upf
Pt 195.08 Pt.upf
CELL_PARAMETERS angstrom
5.530 0.000 0.000
-2.765 4.789 0.000
0.000 0.000 4.234
ATOMIC_POSITIONS crystal
Nd 0.000 0.000 0.000
Ga 0.667 0.333 0.000
Pd 0.333 0.667 0.000
Pt 0.501 0.002 0.500
Pt 0.501 0.499 0.500
Pt 0.998 0.499 0.500
! spin magnetization = 0.00 μB per formula unit
! total DFT energy (no corrections) = -35.74 eV/f.u.

***

! LiAcTbSe3, relaxed, DFT PBE; values from VASP
&SYSTEM
  ibrav = 0, nat = 12, ntyp = 4
/
ATOMIC_SPECIES
Li 6.94 Li.upf
Ac 227.00 Ac.upf
Tb 158.93 Tb.upf
Se 78.96 Se.upf
CELL_PARAMETERS angstrom
2.091 -6.907 0.000
2.091 6.907 0.000
0.000 0.000 10.464
ATOMIC_POSITIONS crystal
Li 0.020 0.980 0.750
Li 0.980 0.020 0.250
Ac 0.258 0.742 0.250
Ac 0.742 0.258 0.750
Tb 0.500 0.500 0.000
Tb 0.500 0.500 0.500
Se 0.139 0.861 0.566
Se 0.139 0.861 0.934
Se 0.414 0.586 0.750
Se 0.586 0.414 0.250
Se 0.861 0.139 0.066
Se 0.861 0.139 0.434
! spin magnetization = 0.03 μB per formula unit
! total DFT energy (no corrections) = -31.39 eV/f.u.

***

! RbNbSn, relaxed, DFT PBE; values from VASP
&SYSTEM
  ibrav = 0, nat = 12, ntyp = 3
/
ATOMIC_SPECIES
Rb 85.47 Rb.upf
Nb 92.91 Nb.upf
Sn 118.71 Sn.upf
CELL_PARAMETERS angstrom
7.564 0.000 0.000
0.000 7.564 0.000
0.000 0.000 7.564
ATOMIC_POSITIONS crystal
Rb 0.000 0.000 0.000
Rb 0.000 0.500 0.500
Rb 0.500 0.000 0.500
Rb 0.500 0.500 0.000
Nb 0.250 0.250 0.750
Nb 0.250 0.750 0.250
Nb 0.750 0.250 0.250
Nb 0.750 0.750 0.750
Sn 0.250 0.250 0.250
Sn 0.250 0.750 0.750
Sn 0.750 0.250 0.750
Sn 0.750 0.750 0.250
! spin magnetization = 2.75 μB per formula unit
! total DFT energy (no corrections) = -9.36 eV/f.u.
! offset from the most stable computed form = 802.1 meV/atom

***

! LaTeAuO, relaxed, DFT PBE; values from VASP
&SYSTEM
  ibrav = 0, nat = 8, ntyp = 4
/
ATOMIC_SPECIES
La 138.91 La.upf
Te 127.60 Te.upf
Au 196.97 Au.upf
O 16.00 O.upf
CELL_PARAMETERS angstrom
5.360 0.000 0.000
0.000 5.167 0.000
0.000 0.000 7.029
ATOMIC_POSITIONS crystal
La 0.000 0.227 0.000
La 0.000 0.773 0.500
Te 0.500 0.381 0.328
Te 0.500 0.619 0.828
Au 0.500 0.040 0.606
Au 0.500 0.960 0.106
O 0.000 0.104 0.708
O 0.000 0.896 0.208
! spin magnetization = 0.00 μB per formula unit
! total DFT energy (no corrections) = -22.61 eV/f.u.

***

! LiTe4PtAu3, relaxed, DFT PBE; values from VASP
&SYSTEM
  ibrav = 0, nat = 9, ntyp = 4
/
ATOMIC_SPECIES
Li 6.94 Li.upf
Te 127.60 Te.upf
Pt 195.08 Pt.upf
Au 196.97 Au.upf
CELL_PARAMETERS angstrom
6.353 0.000 0.000
0.000 6.353 0.000
0.000 0.000 6.353
ATOMIC_POSITIONS crystal
Li 0.000 0.000 0.000
Te 0.251 0.251 0.251
Te 0.251 0.749 0.749
Te 0.749 0.251 0.749
Te 0.749 0.749 0.251
Pt 0.500 0.500 0.500
Au 0.000 0.500 0.500
Au 0.500 0.000 0.500
Au 0.500 0.500 0.000
! spin magnetization = 0.01 μB per formula unit
! total DFT energy (no corrections) = -30.80 eV/f.u.